[1]
Entry from Alexandria: a relaxed structure of Al2Fe6Co (PBE-GGA).

Results
volume: 11.96 Å³/atom
final energy: -7.384 eV per atom
spin magnetization: 14.16 μB/cell
Fermi-level density of states: 6.31 states/eV/cell

Lattice parameters (Å, degrees): 6.9585 6.9585 2.7935 95.01 95.01 125.82
Element x y z (fractional)
Al: 0.1601 0.8399 0.0000
Al: 0.8399 0.1601 0.0000
Fe: 0.1764 0.5030 0.6620
Fe: 0.3306 0.3306 0.1645
Fe: 0.4970 0.8236 0.3380
Fe: 0.5030 0.1764 0.6620
Fe: 0.6694 0.6694 0.8355
Fe: 0.8236 0.4970 0.3380
Co: 0.0000 0.0000 0.5000


[2]
Entry from Alexandria: a relaxed structure of Hf3ZrCo8 (PBE-GGA).

Results
volume: 13.61 Å³/atom
final energy: -8.294 eV per atom
spin magnetization: 4.31 μB/cell
Fermi-level density of states: 16.91 states/eV/cell

Lattice parameters (Å, degrees): 8.4369 8.4369 8.4369 33.54 33.54 33.54
Element x y z (fractional)
Hf: 0.0000 0.0000 0.0000
Hf: 0.1249 0.1249 0.1249
Hf: 0.4997 0.4997 0.4997
Zr: 0.6248 0.6248 0.6248
Co: 0.0619 0.0619 0.5618
Co: 0.0619 0.5618 0.0619
Co: 0.0641 0.5621 0.5621
Co: 0.3125 0.3125 0.3125
Co: 0.5618 0.0619 0.0619
Co: 0.5621 0.0641 0.5621
Co: 0.5621 0.5621 0.0641
Co: 0.8124 0.8124 0.8124


[3]
Entry from Alexandria: a relaxed structure of LiAlGe (PBE-GGA).

Results
volume: 18.74 Å³/atom
final energy: -3.534 eV per atom
spin magnetization: 0.00 μB/cell
Fermi-level density of states: 1.86 states/eV/cell

Lattice parameters (Å, degrees): 5.0273 5.0273 6.6525 111.47 111.47 46.83
Element x y z (fractional)
Li: 0.1614 0.1614 0.2972
Li: 0.8386 0.8386 0.7028
Al: 0.3877 0.3877 0.0799
Al: 0.6123 0.6123 0.9201
Ge: 0.1303 0.1303 0.6896
Ge: 0.8697 0.8697 0.3104


[4]
Entry from Alexandria: a relaxed structure of Rb3U3InSe8 (PBE-GGA).

Results
volume: 33.67 Å³/atom
final energy: -5.626 eV per atom
spin magnetization: 7.18 μB/cell
Fermi-level density of states: 14.43 states/eV/cell

Lattice parameters (Å, degrees): 9.4109 9.4109 9.4109 53.87 53.87 53.87
Element x y z (fractional)
Rb: 0.0000 0.5000 0.5000
Rb: 0.5000 0.0000 0.5000
Rb: 0.5000 0.5000 0.0000
U: 0.0000 0.0000 0.5000
U: 0.0000 0.5000 0.0000
U: 0.5000 0.0000 0.0000
In: 0.5000 0.5000 0.5000
Se: 0.2183 0.7363 0.7363
Se: 0.2322 0.2322 0.2322
Se: 0.2637 0.2637 0.7817
Se: 0.2637 0.7817 0.2637
Se: 0.7363 0.2183 0.7363
Se: 0.7363 0.7363 0.2183
Se: 0.7678 0.7678 0.7678
Se: 0.7817 0.2637 0.2637


[5]
Entry from Alexandria: a relaxed structure of BaPdF4 (PBE-GGA).

Results
volume: 18.10 Å³/atom
final energy: -4.922 eV per atom
spin magnetization: 0.12 μB/cell

Lattice parameters (Å, degrees): 7.7066 7.1068 6.0888 70.99 60.68 48.33
Element x y z (fractional)
Ba: 0.1250 0.1250 0.1250
Ba: 0.8750 0.8750 0.8750
Pd: 0.3750 0.3750 0.3750
Pd: 0.6250 0.6250 0.6250
F: 0.0870 0.4321 0.7096
F: 0.2713 0.7096 0.4321
F: 0.2904 0.7287 0.9130
F: 0.4321 0.0870 0.2713
F: 0.5679 0.9130 0.7287
F: 0.7096 0.2713 0.0870
F: 0.7287 0.2904 0.5679
F: 0.9130 0.5679 0.2904


[6]
Entry from Alexandria: a relaxed structure of PuCu2Ag3O6 (PBE-GGA).

Results
volume: 14.04 Å³/atom
final energy: -6.072 eV per atom
spin magnetization: 0.96 μB/cell
Fermi-level density of states: 3.85 states/eV/cell

Lattice parameters (Å, degrees): 5.3929 5.3929 6.6012 96.98 96.98 115.68
Element x y z (fractional)
Pu: 0.0000 0.0000 0.0000
Cu: 0.3375 0.6625 0.0000
Cu: 0.6625 0.3375 0.0000
Ag: 0.1702 0.8298 0.5000
Ag: 0.5000 0.5000 0.5000
Ag: 0.8298 0.1702 0.5000
O: 0.0887 0.7418 0.1771
O: 0.2582 0.9113 0.8229
O: 0.3929 0.3929 0.1651
O: 0.6071 0.6071 0.8349
O: 0.7418 0.0887 0.1771
O: 0.9113 0.2582 0.8229


[7]
Entry from Alexandria: a relaxed structure of CeCd11Pd (PBE-GGA).

Results
volume: 22.19 Å³/atom
final energy: -1.783 eV per atom
spin magnetization: 1.18 μB/cell
Fermi-level density of states: 12.90 states/eV/cell

Lattice parameters (Å, degrees): 7.6907 7.6907 7.6256 97.76 97.76 136.61
Element x y z (fractional)
Ce: 0.0000 0.0000 0.0000
Cd: 0.0000 0.0000 0.5000
Cd: 0.0000 0.5000 0.0000
Cd: 0.0196 0.3616 0.3580
Cd: 0.2961 0.5041 0.7846
Cd: 0.3616 0.0196 0.3580
Cd: 0.4959 0.7039 0.2154
Cd: 0.5000 0.0000 0.0000
Cd: 0.5041 0.2961 0.7846
Cd: 0.6384 0.9804 0.6420
Cd: 0.7039 0.4959 0.2154
Cd: 0.9804 0.6384 0.6420
Pd: 0.5000 0.5000 0.5000


[8]
Entry from Alexandria: a relaxed structure of PmHo3Ru3 (PBE-GGA).

Results
volume: 22.07 Å³/atom
final energy: -6.952 eV per atom
spin magnetization: 0.00 μB/cell
Fermi-level density of states: 3.00 states/eV/cell

Lattice parameters (Å, degrees): 5.8630 5.8630 5.8630 109.59 109.59 109.59
Element x y z (fractional)
Pm: 0.0000 0.0000 0.0000
Ho: 0.4134 0.4134 0.8285
Ho: 0.4134 0.8285 0.4134
Ho: 0.8285 0.4134 0.4134
Ru: 0.4126 0.9117 0.9117
Ru: 0.9117 0.4126 0.9117
Ru: 0.9117 0.9117 0.4126


[9]
Entry from Alexandria: a relaxed structure of NaSr3Te (PBE-GGA).

Results
volume: 53.17 Å³/atom
final energy: -2.350 eV per atom
spin magnetization: 0.00 μB/cell
Fermi-level density of states: 6.11 states/eV/cell

Lattice parameters (Å, degrees): 6.4300 6.4300 6.4300 90.00 90.00 90.00
Element x y z (fractional)
Na: 0.0000 0.0000 0.0000
Sr: 0.0000 0.5000 0.5000
Sr: 0.5000 0.0000 0.5000
Sr: 0.5000 0.5000 0.0000
Te: 0.5000 0.5000 0.5000


[10]
Entry from Alexandria: a relaxed structure of BaAgHgOs2 (PBE-GGA).

Results
volume: 27.04 Å³/atom
final energy: -3.910 eV per atom
spin magnetization: 3.85 μB/cell
Fermi-level density of states: 5.29 states/eV/cell

Lattice parameters (Å, degrees): 5.0980 5.0980 5.2017 90.00 90.00 90.00
Element x y z (fractional)
Ba: 0.0000 0.0000 0.0000
Ag: 0.5000 0.5000 0.5000
Hg: 0.5000 0.5000 0.0000
Os: 0.0000 0.5000 0.5000
Os: 0.5000 0.0000 0.5000


[11]
Entry from Alexandria: a relaxed structure of RbPbNF2 (PBE-GGA).

Results
volume: 21.74 Å³/atom
final energy: -3.479 eV per atom
spin magnetization: 0.99 μB/cell
Fermi-level density of states: 2.17 states/eV/cell

Lattice parameters (Å, degrees): 4.8475 4.8475 4.6261 90.00 90.00 90.00
Element x y z (fractional)
Rb: 0.0000 0.0000 0.0000
Pb: 0.5000 0.5000 0.5000
N: 0.0000 0.0000 0.5000
F: 0.0000 0.5000 0.0000
F: 0.5000 0.0000 0.0000


[12]
Entry from Alexandria: a relaxed structure of Ac6Hg3RuPt2 (PBE-GGA).

Results
volume: 33.79 Å³/atom
final energy: -4.571 eV per atom
spin magnetization: 0.00 μB/cell
Fermi-level density of states: 7.89 states/eV/cell

Lattice parameters (Å, degrees): 7.5618 7.5618 8.5507 98.46 98.46 119.82
Element x y z (fractional)
Ac: 0.0673 0.3906 0.2029
Ac: 0.2531 0.2531 0.7912
Ac: 0.3906 0.0673 0.2029
Ac: 0.6094 0.9327 0.7971
Ac: 0.7469 0.7469 0.2088
Ac: 0.9327 0.6094 0.7971
Hg: 0.1747 0.8253 0.5000
Hg: 0.5000 0.5000 0.5000
Hg: 0.8253 0.1747 0.5000
Ru: 0.0000 0.0000 0.0000
Pt: 0.3347 0.6653 0.0000
Pt: 0.6653 0.3347 0.0000


[13]
Entry from Alexandria: a relaxed structure of Mg7Al2Ga2 (PBE-GGA).

Results
volume: 21.17 Å³/atom
final energy: -2.265 eV per atom
spin magnetization: 0.00 μB/cell
Fermi-level density of states: 3.48 states/eV/cell

Lattice parameters (Å, degrees): 5.7576 6.2541 7.1202 91.82 102.20 110.69
Element x y z (fractional)
Mg: 0.0000 0.0000 0.0000
Mg: 0.1197 0.6534 0.3589
Mg: 0.4222 0.9805 0.7443
Mg: 0.4704 0.5039 0.7445
Mg: 0.5296 0.4961 0.2555
Mg: 0.5778 0.0195 0.2557
Mg: 0.8803 0.3466 0.6411
Al: 0.1611 0.1538 0.4140
Al: 0.8389 0.8462 0.5860
Ga: 0.2137 0.6547 0.9802
Ga: 0.7863 0.3453 0.0198


[14]
Entry from Alexandria: a relaxed structure of Ir3Cl (PBE-GGA).

Results
volume: 15.31 Å³/atom
final energy: -5.796 eV per atom
spin magnetization: 0.00 μB/cell
Fermi-level density of states: 7.62 states/eV/cell

Lattice parameters (Å, degrees): 3.9414 3.9414 3.9414 90.00 90.00 90.00
Element x y z (fractional)
Ir: 0.0000 0.0000 0.5000
Ir: 0.0000 0.5000 0.0000
Ir: 0.5000 0.0000 0.0000
Cl: 0.5000 0.5000 0.5000


[15]
Entry from Alexandria: a relaxed structure of LiGa4Cu5 (PBE-GGA).

Results
volume: 13.53 Å³/atom
final energy: -3.560 eV per atom
spin magnetization: 0.00 μB/cell
Fermi-level density of states: 2.49 states/eV/cell

Lattice parameters (Å, degrees): 4.5735 5.3034 6.0686 77.07 74.59 75.25
Element x y z (fractional)
Li: 0.0000 0.0000 0.0000
Ga: 0.1884 0.3096 0.6168
Ga: 0.3901 0.1191 0.2016
Ga: 0.6099 0.8809 0.7984
Ga: 0.8116 0.6904 0.3832
Cu: 0.0000 0.5000 0.0000
Cu: 0.2016 0.8061 0.5952
Cu: 0.4117 0.6011 0.1977
Cu: 0.5883 0.3989 0.8023
Cu: 0.7984 0.1939 0.4048


[16]
Entry from Alexandria: a relaxed structure of TbTeAu4 (PBE-GGA).

Results
volume: 21.49 Å³/atom
final energy: -3.888 eV per atom
spin magnetization: 0.00 μB/cell
Fermi-level density of states: 4.38 states/eV/cell

Lattice parameters (Å, degrees): 5.6710 5.6710 5.6710 60.00 60.00 60.00
Element x y z (fractional)
Tb: 0.0000 0.0000 0.0000
Te: 0.2500 0.2500 0.2500
Au: 0.1244 0.6252 0.6252
Au: 0.6252 0.1244 0.6252
Au: 0.6252 0.6252 0.1244
Au: 0.6252 0.6252 0.6252


[17]
Entry from Alexandria: a relaxed structure of Mg5AgPt6 (PBE-GGA).

Results
volume: 15.98 Å³/atom
final energy: -4.671 eV per atom
spin magnetization: 0.00 μB/cell
Fermi-level density of states: 2.50 states/eV/cell

Lattice parameters (Å, degrees): 7.5407 7.5407 7.5407 147.73 121.97 67.98
Element x y z (fractional)
Mg: 0.0000 0.0000 0.0000
Mg: 0.1710 0.6710 0.5000
Mg: 0.3427 0.3427 0.0000
Mg: 0.6573 0.6573 0.0000
Mg: 0.8290 0.3290 0.5000
Ag: 0.5000 0.0000 0.5000
Pt: 0.0729 0.8311 0.2418
Pt: 0.2340 0.5000 0.7340
Pt: 0.4107 0.1689 0.2418
Pt: 0.5893 0.8311 0.7582
Pt: 0.7660 0.5000 0.2660
Pt: 0.9271 0.1689 0.7582


[18]
Entry from Alexandria: a relaxed structure of Tc2SbTe (PBE-GGA).

Results
volume: 18.14 Å³/atom
final energy: -6.739 eV per atom
spin magnetization: 0.00 μB/cell
Fermi-level density of states: 2.99 states/eV/cell

Lattice parameters (Å, degrees): 5.0719 5.0719 4.7084 102.56 102.56 38.01
Element x y z (fractional)
Tc: 0.0000 0.0000 0.0000
Tc: 0.2311 0.2311 0.5949
Sb: 0.4966 0.4966 0.4980
Te: 0.7354 0.7354 0.1062


[19]
Entry from Alexandria: a relaxed structure of YHf2ZrO (PBE-GGA).

Results
volume: 19.69 Å³/atom
final energy: -8.991 eV per atom
spin magnetization: 0.00 μB/cell
Fermi-level density of states: 4.83 states/eV/cell

Lattice parameters (Å, degrees): 4.5155 4.5155 4.8291 90.00 90.00 90.00
Element x y z (fractional)
Y: 0.0000 0.0000 0.0000
Hf: 0.0000 0.5000 0.5000
Hf: 0.5000 0.0000 0.5000
Zr: 0.5000 0.5000 0.0000
O: 0.0000 0.0000 0.5000


[20]
Entry from Alexandria: a relaxed structure of MnP3 (PBE-GGA).

Results
volume: 13.88 Å³/atom
final energy: -6.421 eV per atom
spin magnetization: 0.00 μB/cell
Fermi-level density of states: 1.14 states/eV/cell

Lattice parameters (Å, degrees): 4.2020 4.2020 5.2510 105.58 105.58 38.65
Element x y z (fractional)
Mn: 0.0000 0.0000 0.0000
P: 0.2777 0.2777 0.9788
P: 0.4089 0.4089 0.6205
P: 0.6098 0.6098 0.3666